{"formula": "TbSm3Y3Se8", "functional": "PBE", "state": "relaxed", "formation_energy_uncorrected_ev_per_atom": -1.859, "magnetic_moment_mub_per_fu": 0.00, "sg": "R-3m", "lattice_angstrom": [[8.215, 0.000, 0.000], [-4.107, 7.115, -0.025], [0.000, -4.720, 6.756]], "species": ["Se", "Se", "Se", "Se", "Se", "Se", "Se", "Se", "Sm", "Sm", "Sm", "Y", "Y", "Y", "Tb"], "fractional_positions": [[0.743, 0.995, 0.747], [0.252, 0.505, 0.257], [0.257, 0.005, 0.253], [0.748, 0.495, 0.743], [0.748, 0.005, 0.253], [0.748, 0.496, 0.253], [0.252, 0.504, 0.747], [0.252, 0.995, 0.747], [0.000, 0.500, 0.000], [0.000, 0.000, 0.000], [0.500, 0.500, 0.000], [0.000, 0.500, 0.500], [0.500, 0.000, 0.500], [0.500, 0.500, 0.500], [0.000, 0.000, 0.500]]}